# 1
Density functional theory data (meta-GGA SCAN) for HfSiTeI2 at its PBEsol-relaxed geometry.

Summary:
Crystal system = tetragonal
Uncorrected formation energy = 78.3 kJ/mol of atoms

Lattice parameters (Å, degrees): 5.214 5.214 5.350 90.00 90.00 90.00
Site moments in Bohr magnetons follow the coordinates.
Positions (direct):
I  0.000  0.500  0.000  -0.02
I  0.500  0.000  0.000  -0.02
Si  0.000  0.000  0.000  -0.01
Te  0.000  0.000  0.500  -0.08
Hf  0.500  0.500  0.500  1.16

# 2
Density functional theory data (meta-GGA SCAN) for SrHfTe2I at its PBEsol-relaxed geometry.

Summary:
Crystal system = tetragonal
Uncorrected formation energy = -82.1 kJ/mol of atoms

Lattice parameters (Å, degrees): 5.509 5.580 5.580 90.00 90.00 90.00
Positions (direct):
I  0.500  0.000  0.000
Sr  0.500  0.500  0.500
Te  0.000  0.000  0.500
Te  0.000  0.500  0.000
Hf  0.000  0.000  0.000

# 3
Density functional theory data (meta-GGA SCAN) for HfZrTc2I at its PBEsol-relaxed geometry.

Summary:
Crystal system = tetragonal
Uncorrected formation energy = 137.2 kJ/mol of atoms

Lattice parameters (Å, degrees): 4.729 4.729 5.024 90.00 90.00 90.00
Positions (direct):
I  0.000  0.000  0.000
Hf  0.000  0.000  0.500
Tc  0.000  0.500  0.000
Tc  0.500  0.000  0.000
Zr  0.500  0.500  0.500

# 4
Density functional theory data (meta-GGA SCAN) for HfZrTe2I at its PBEsol-relaxed geometry.

Summary:
Crystal system = tetragonal
Uncorrected formation energy = 19.6 kJ/mol of atoms

Lattice parameters (Å, degrees): 5.406 5.464 5.464 90.00 90.00 90.00
Site moments in Bohr magnetons follow the coordinates.
Positions (direct):
I  0.500  0.000  0.000  0.01
Te  0.000  0.000  0.500  -0.08
Te  0.000  0.500  0.000  -0.08
Hf  0.000  0.000  0.000  0.15
Zr  0.500  0.500  0.500  1.55

# 5
Density functional theory data (meta-GGA SCAN) for HfZr2InIr at its PBEsol-relaxed geometry.

Summary:
Crystal system = tetragonal
Uncorrected energy = -44.296 eV/atom

Lattice parameters (Å, degrees): 4.893 4.893 5.123 90.00 90.00 90.00
Site moments in Bohr magnetons follow the coordinates.
Positions (direct):
Ir  0.500  0.500  0.500  0.81
Hf  0.000  0.000  0.000  0.05
Zr  0.000  0.500  0.000  -0.01
Zr  0.500  0.000  0.000  -0.01
In  0.000  0.000  0.500  -0.01

# 6
Density functional theory data (meta-GGA SCAN) for KHfIn3 at its PBEsol-relaxed geometry.

Summary:
Crystal system = cubic
Uncorrected energy = -34.058 eV/atom

Lattice parameters (Å, degrees): 5.568 5.568 5.568 90.00 90.00 90.00
Positions (direct):
K  0.500  0.500  0.500
Hf  0.000  0.000  0.000
In  0.000  0.500  0.000
In  0.000  0.000  0.500
In  0.500  0.000  0.000

# 7
Density functional theory data (meta-GGA SCAN) for KHf3In at its PBEsol-relaxed geometry.

Summary:
Crystal system = cubic
Uncorrected energy = -44.530 eV/atom

Lattice parameters (Å, degrees): 5.364 5.364 5.364 90.00 90.00 90.00
Site moments in Bohr magnetons follow the coordinates.
Positions (direct):
K  0.500  0.500  0.500  0.02
Hf  0.000  0.500  0.000  0.33
Hf  0.000  0.000  0.500  0.33
Hf  0.500  0.000  0.000  0.33
In  0.000  0.000  0.000  0.05

# 8
Density functional theory data (meta-GGA SCAN) for LaHf2InNi at its PBEsol-relaxed geometry.

Summary:
Crystal system = tetragonal
Uncorrected energy = -42.214 eV/atom

Lattice parameters (Å, degrees): 5.155 5.155 5.782 90.00 90.00 90.00
Site moments in Bohr magnetons follow the coordinates.
Positions (direct):
Ni  0.500  0.500  0.500  1.15
In  0.000  0.000  0.000  -0.04
Hf  0.000  0.500  0.000  -0.19
Hf  0.500  0.000  0.000  -0.19
La  0.000  0.000  0.500  -0.11

Number 1: N(E_F) 3.84 states/eV/f.u.. Number 2: N(E_F) 1.73 states/eV/f.u.. Number 3: N(E_F) 3.85 states/eV/f.u.. Number 4: N(E_F) 2.64 states/eV/f.u.. Number 5: N(E_F) 4.36 states/eV/f.u.. Number 6: N(E_F) 6.12 states/eV/f.u.. Number 7: N(E_F) 7.88 states/eV/f.u.. Number 8: N(E_F) 6.61 states/eV/f.u..